[1]
Compound: PmPuPaBi
Source: the Alexandria database
Functional: PBE
Structure: optimized geometry

Values from the calculation:
Symmetry ... No. 216
Spin magnetization ... 7.27 μB/f.u.
E_form ... 0.0576 eV/atom
Total DFT energy (no corrections) ... -8.0573 eV per atom

Lattice parameters (Å, degrees): 5.393 5.393 5.393 60.00 60.00 60.00
Fractional positions:
Pm 0.000 0.000 0.000
Pu 0.500 0.500 0.500
Pa 0.250 0.250 0.250
Bi 0.750 0.750 0.750


[2]
Compound: Pr5Zn4Pb
Source: the Alexandria database
Functional: PBE
Structure: optimized geometry

Values from the calculation:
Symmetry ... No. 123
Spin magnetization ... 0.00 μB/f.u.
E_form ... -0.3449 eV/atom
Total DFT energy (no corrections) ... -3.6151 eV per atom

Lattice parameters (Å, degrees): 3.719 3.719 19.328 90.00 90.00 90.00
Fractional positions:
Pr 0.000 0.000 0.000
Pr 0.000 0.000 0.192
Pr 0.000 0.000 0.384
Pr 0.000 0.000 0.616
Pr 0.000 0.000 0.808
Zn 0.500 0.500 0.098
Zn 0.500 0.500 0.285
Zn 0.500 0.500 0.715
Zn 0.500 0.500 0.902
Pb 0.500 0.500 0.500


What is the E_form in the first record?
0.0576 eV/atom